First-principles (GGA-PBE) data for an optimized crystal structure of CdH2Au2, as listed in Alexandria.

abc: 3.7726 3.7726 5.3182
angles: 69.23 69.23 90.00
Last column: nearest neighbours and their distance in Å.
Positions (direct):
1 H 0.7500 0.2500 0.5000  4 Au 2.08
2 H 0.2500 0.7500 0.5000  4 Au 2.08
3 Au 0.3444 0.3444 0.3113  4 H 2.08
4 Au 0.6556 0.6556 0.6887  4 H 2.08
5 Cd 0.0000 0.0000 0.0000  8 H 2.97, 10 Au 3.03-3.17

## Properties
Relative energy among the computed polymorphs ... 0.153 eV/atom
M_tot ... 0.00 μB/f.u.

---

First-principles (GGA-PBE) data for an optimized crystal structure of CdHAu2, as listed in Alexandria.

abc: 4.5696 4.5696 4.5696
angles: 60.00 60.00 60.00
Last column: nearest neighbours and their distance in Å.
Positions (direct):
1 H 0.0000 0.0000 0.0000  8 Au 2.80
2 Au 0.2500 0.2500 0.2500  4 Cd 2.80, 4 H 2.80
3 Au 0.7500 0.7500 0.7500  4 Cd 2.80, 4 H 2.80
4 Cd 0.5000 0.5000 0.5000  8 Au 2.80

## Properties
Relative energy among the computed polymorphs ... 0.375 eV/atom
M_tot ... 0.37 μB/f.u.

---

First-principles (GGA-PBE) data for an optimized crystal structure of CdH2Au, as listed in Alexandria.

abc: 4.0946 4.0946 4.0946
angles: 60.00 60.00 60.00
Last column: nearest neighbours and their distance in Å.
Positions (direct):
1 H 0.2500 0.2500 0.2500  4 Cd 2.51, 4 Au 2.51
2 H 0.7500 0.7500 0.7500  4 Au 2.51, 4 Cd 2.51
3 Au 0.5000 0.5000 0.5000  8 H 2.51
4 Cd 0.0000 0.0000 0.0000  8 H 2.51

## Properties
Relative energy among the computed polymorphs ... 0.557 eV/atom
M_tot ... 0.00 μB/f.u.

---

First-principles (GGA-PBE) data for an optimized crystal structure of CdHAu, as listed in Alexandria.

abc: 2.9845 4.8361 7.3937
angles: 109.47 91.96 90.35
Last column: nearest neighbours and their distance in Å.
Positions (direct):
1 H 0.0020 0.4723 0.4450  1 H 0.77
2 H 0.9980 0.5277 0.5550  1 H 0.77
3 Au 0.7414 0.7267 0.9525  1 H 2.90, 6 Au 2.90-2.98, 4 Cd 2.90-3.06
4 Au 0.2586 0.2733 0.0475  1 H 2.90, 6 Au 2.90-2.98, 4 Cd 2.90-3.06
5 Cd 0.2647 0.9045 0.3126  2 H 2.71-2.72, 3 Au 2.90-3.03, 3 Cd 2.92-2.98
6 Cd 0.7353 0.0955 0.6874  2 H 2.71-2.72, 3 Au 2.90-3.03, 3 Cd 2.92-2.98

## Properties
Relative energy among the computed polymorphs ... 0.021 eV/atom
M_tot ... 0.00 μB/f.u.

---

First-principles (GGA-PBE) data for an optimized crystal structure of CdH2Au2, as listed in Alexandria.

abc: 7.1822 7.1822 3.4933
angles: 90.00 90.00 90.00
Last column: nearest neighbours and their distance in Å.
Positions (direct):
1 H 0.3557 0.8557 0.5000  2 Au 1.75
2 H 0.8557 0.6443 0.5000  2 Au 1.75
3 H 0.6443 0.1443 0.5000  2 Au 1.75
4 H 0.1443 0.3557 0.5000  2 Au 1.75
5 Au 0.3579 0.8579 0.0000  2 H 1.75
6 Au 0.8579 0.6421 0.0000  2 H 1.75
7 Au 0.6421 0.1421 0.0000  2 H 1.75
8 Au 0.1421 0.3579 0.0000  2 H 1.75
9 Cd 0.0000 0.0000 0.0000  4 Au 2.77
10 Cd 0.5000 0.5000 0.0000  4 Au 2.77

## Properties
Relative energy among the computed polymorphs ... 0.066 eV/atom
M_tot ... 0.00 μB/f.u.

---

First-principles (GGA-PBE) data for an optimized crystal structure of CdHAu, as listed in Alexandria.

abc: 3.5470 4.7111 6.1562
angles: 90.55 106.45 89.92
Last column: nearest neighbours and their distance in Å.
Positions (direct):
1 Cd 0.3855 0.2394 0.7657  1 H 1.93
2 Cd 0.6145 0.7606 0.2343  1 H 1.93
3 H 0.2232 0.2277 0.4392  1 Au 1.71
4 H 0.7768 0.7723 0.5608  1 Au 1.71
5 Au 0.9235 0.7371 0.8493  1 H 1.71
6 Au 0.0765 0.2629 0.1507  1 H 1.71

## Properties
Relative energy among the computed polymorphs ... 0.000 eV/atom
M_tot ... 0.00 μB/f.u.

---

First-principles (GGA-PBE) data for an optimized crystal structure of CdHAu, as listed in Alexandria.

abc: 3.1908 3.0825 5.3344
angles: 72.01 72.33 90.65
Last column: nearest neighbours and their distance in Å.
Positions (direct):
1 Cd 0.4222 0.8980 0.3246  2 H 2.47-2.54
2 H 0.7332 0.7169 0.7258  2 Au 1.84
3 Au 0.1340 0.6260 0.9165  2 H 1.84

## Properties
Relative energy among the computed polymorphs ... 0.063 eV/atom
M_tot ... 0.00 μB/f.u.

---

First-principles (GGA-PBE) data for an optimized crystal structure of CdH2Au, as listed in Alexandria.

abc: 4.1819 4.1819 6.6142
angles: 71.57 71.57 90.00
Last column: nearest neighbours and their distance in Å.
Positions (direct):
1 H 0.7174 0.1250 0.2500  2 Au 1.93
2 H 0.0326 0.6250 0.2500  2 Au 1.93
3 H 0.3750 0.2826 0.7500  2 Au 1.93
4 H 0.8750 0.9674 0.7500  2 Au 1.93
5 Au 0.0000 0.0000 0.0000  4 H 1.93
6 Au 0.7500 0.2500 0.5000  4 H 1.93
7 Cd 0.5000 0.5000 0.0000  4 H 2.31
8 Cd 0.2500 0.7500 0.5000  4 H 2.31

## Properties
Relative energy among the computed polymorphs ... 0.198 eV/atom
M_tot ... 0.00 μB/f.u.